1.
## TlSi2Se (PBE)

Data for a geometry-optimized TlSi2Se structure.

```
data_TlSi2Se
_chemical_formula_sum 'Tl3 Si6 Se3'
_symmetry_space_group_name_H-M 'R -3 m'
_symmetry_Int_Tables_number 166
_symmetry_space_group_name_Hall '-R 3 2"'
_cell_length_a 3.6997
_cell_length_b 3.6997
_cell_length_c 22.1320
_cell_angle_alpha 90.00
_cell_angle_beta 90.00
_cell_angle_gamma 120.00
loop_
_atom_site_label
_atom_site_fract_x
_atom_site_fract_y
_atom_site_fract_z
_atom_site_occupancy
Tl1 0.0000 0.0000 0.0000 1
Si1 0.0000 0.0000 0.2408 1
Se1 0.0000 0.0000 0.5000 1
```

## Properties
Its mass density is 6.45 Mg/m³. For the total energy, the calculation gives -3.763 eV per atom.



2.
## PmLuBi2 (PBE)

Data for a geometry-optimized PmLuBi2 structure.

```
data_PmLuBi2
_chemical_formula_sum 'Pm4 Lu4 Bi8'
_symmetry_space_group_name_H-M 'F m -3 m'
_symmetry_Int_Tables_number 225
_symmetry_space_group_name_Hall '-F 4 2 3'
_cell_length_a 7.806
_cell_length_b 7.806
_cell_length_c 7.806
_cell_angle_alpha 90.00
_cell_angle_beta 90.00
_cell_angle_gamma 90.00
loop_
_atom_site_label
_atom_site_fract_x
_atom_site_fract_y
_atom_site_fract_z
_atom_site_occupancy
Pm1 0.000 0.000 0.000 1
Lu1 0.000 0.000 0.500 1
Bi1 0.250 0.250 0.250 1
```

## Properties
Its mass density is 10.31 Mg/m³. The value obtained for the formation energy is -55.2 kJ/mol of atoms.



3.
## LiTa3Re (PBE)

Data for a geometry-optimized LiTa3Re structure.

```
data_LiTa3Re
_chemical_formula_sum 'Li1 Ta3 Re1'
_symmetry_space_group_name_H-M 'P m -3 m'
_symmetry_Int_Tables_number 221
_symmetry_space_group_name_Hall '-P 4 2 3'
_cell_length_a 4.888
_cell_length_b 4.888
_cell_length_c 4.888
_cell_angle_alpha 90.00
_cell_angle_beta 90.00
_cell_angle_gamma 90.00
loop_
_atom_site_label
_atom_site_fract_x
_atom_site_fract_y
_atom_site_fract_z
_atom_site_occupancy
Li1 0.000 0.000 0.000 1
Ta1 0.000 0.500 0.500 1
Re1 0.500 0.500 0.500 1
```

## Properties
Its mass density is 10.46 Mg/m³. The value obtained for the formation energy is 118.2 kJ/mol of atoms.



4.
## Y2TaAl2Ru5 (PBE)

Data for a geometry-optimized Y2TaAl2Ru5 structure.

```
data_Y2TaAl2Ru5
_chemical_formula_sum 'Y4 Ta2 Al4 Ru10'
_symmetry_space_group_name_H-M 'P 4/m b m'
_symmetry_Int_Tables_number 127
_symmetry_space_group_name_Hall '-P 4 2ab'
_cell_length_a 10.144
_cell_length_b 10.144
_cell_length_c 3.294
_cell_angle_alpha 90.00
_cell_angle_beta 90.00
_cell_angle_gamma 90.00
loop_
_atom_site_label
_atom_site_fract_x
_atom_site_fract_y
_atom_site_fract_z
_atom_site_occupancy
Y1 0.172 0.328 0.000 1
Ta1 0.000 0.000 0.000 1
Al1 0.126 0.626 0.000 1
Ru1 0.000 0.500 0.500 1
Ru2 0.066 0.801 0.500 1
```

## Properties
Its mass density is 8.99 Mg/m³. The value obtained for the formation energy is -44.7 kJ/mol of atoms.



5.
## Ce2SiCl (PBE)

Data for a geometry-optimized Ce2SiCl structure.

```
data_Ce2SiCl
_chemical_formula_sum 'Ce8 Si4 Cl4'
_symmetry_space_group_name_H-M 'I 41/a m d'
_symmetry_Int_Tables_number 141
_cell_length_a 5.830
_cell_length_b 5.830
_cell_length_c 11.780
_cell_angle_alpha 90.00
_cell_angle_beta 90.00
_cell_angle_gamma 90.00
loop_
_symmetry_equiv_pos_as_xyz
'x,y,z'
'-x,-y,-z'
'-y+1/4,x+3/4,z+1/4'
'y+1/4,-x+3/4,-z+1/4'
'-x+1/2,-y,z+1/2'
'x+1/2,y,-z+1/2'
'y+1/4,-x+1/4,z+3/4'
'-y+1/4,x+1/4,-z+3/4'
'x,-y,-z'
'-x,y,z'
'-y+1/4,-x+1/4,-z+3/4'
'y+1/4,x+1/4,z+3/4'
'-x+1/2,y,-z+1/2'
'x+1/2,-y,z+1/2'
'y+1/4,x+3/4,-z+1/4'
'-y+1/4,-x+3/4,z+1/4'
'x+1/2,y+1/2,z+1/2'
'-x+1/2,-y+1/2,-z+1/2'
'-y+3/4,x+1/4,z+3/4'
'y+3/4,-x+1/4,-z+3/4'
'-x,-y+1/2,z'
'x,y+1/2,-z'
'y+3/4,-x+3/4,z+1/4'
'-y+3/4,x+3/4,-z+1/4'
'x+1/2,-y+1/2,-z+1/2'
'-x+1/2,y+1/2,z+1/2'
'-y+3/4,-x+3/4,-z+1/4'
'y+3/4,x+3/4,z+1/4'
'-x,y+1/2,-z'
'x,-y+1/2,z'
'y+3/4,x+1/4,-z+3/4'
'-y+3/4,-x+1/4,z+3/4'
loop_
_atom_site_label
_atom_site_fract_x
_atom_site_fract_y
_atom_site_fract_z
_atom_site_occupancy
Ce1 0.000 0.250 0.122 1
Si1 0.000 0.250 0.875 1
Cl1 0.000 0.250 0.375 1
```

## Properties
Its mass density is 5.70 Mg/m³. For the total energy, the calculation gives -5.889 eV per atom.



6.
## MgCrHg2 (PBE)

Data for a geometry-optimized MgCrHg2 structure.

```
data_MgCrHg2
_chemical_formula_sum 'Mg3 Cr3 Hg6'
_symmetry_space_group_name_H-M 'R -3 m'
_symmetry_Int_Tables_number 166
_symmetry_space_group_name_Hall '-R 3 2"'
_cell_length_a 3.3199
_cell_length_b 3.3199
_cell_length_c 26.6044
_cell_angle_alpha 90.00
_cell_angle_beta 90.00
_cell_angle_gamma 120.00
loop_
_atom_site_label
_atom_site_fract_x
_atom_site_fract_y
_atom_site_fract_z
_atom_site_occupancy
Mg1 0.0000 0.0000 0.0000 1
Cr1 0.0000 0.0000 0.5000 1
Hg1 0.0000 0.0000 0.2477 1
```

## Properties
Its mass density is 9.37 Mg/m³. The value obtained for the formation energy is 23.4 kJ/mol of atoms.



7.
## Ac3Pb2N (PBE)

Data for a geometry-optimized Ac3Pb2N structure.

```
data_Ac3Pb2N
_chemical_formula_sum 'Ac12 Pb8 N4'
_symmetry_space_group_name_H-M 'C 1 2/c 1'
_symmetry_Int_Tables_number 15
_cell_length_a 13.085
_cell_length_b 7.152
_cell_length_c 9.269
_cell_angle_alpha 90.00
_cell_angle_beta 103.79
_cell_angle_gamma 90.00
loop_
_symmetry_equiv_pos_as_xyz
'x,y,z'
'-x,-y,-z'
'-x,y,-z+1/2'
'x,-y,z+1/2'
'x+1/2,y+1/2,z'
'-x+1/2,-y+1/2,-z'
'-x+1/2,y+1/2,-z+1/2'
'x+1/2,-y+1/2,z+1/2'
loop_
_atom_site_label
_atom_site_fract_x
_atom_site_fract_y
_atom_site_fract_z
_atom_site_occupancy
Ac1 0.000 0.127 0.250 1
Ac2 0.132 0.399 0.656 1
Pb1 0.161 0.121 0.020 1
N1 0.000 0.455 0.250 1
```

## Properties
Its mass density is 8.75 Mg/m³. For the total energy, the calculation gives -5.382 eV per atom.



8.
## Y3HgO (PBE)

Data for a geometry-optimized Y3HgO structure.

```
data_Y3HgO
_chemical_formula_sum 'Y18 Hg6 O6'
_symmetry_space_group_name_H-M 'R -3 c'
_symmetry_Int_Tables_number 167
_symmetry_space_group_name_Hall '-R 3 2"c'
_cell_length_a 6.8914
_cell_length_b 6.8914
_cell_length_c 21.8468
_cell_angle_alpha 90.00
_cell_angle_beta 90.00
_cell_angle_gamma 120.00
loop_
_atom_site_label
_atom_site_fract_x
_atom_site_fract_y
_atom_site_fract_z
_atom_site_occupancy
Y1 0.0000 0.3095 0.2500 1
Hg1 0.0000 0.0000 0.0000 1
O1 0.0000 0.0000 0.2500 1
```

## Properties
Its mass density is 5.36 Mg/m³. For the total energy, the calculation gives -6.031 eV per atom.



9.
## Tl2In3Br8 (PBE)

Data for a geometry-optimized Tl2In3Br8 structure.

```
data_Tl2In3Br8
_chemical_formula_sum 'Tl4 In6 Br16'
_symmetry_space_group_name_H-M 'C 1 2/m 1'
_symmetry_Int_Tables_number 12
_cell_length_a 14.036
_cell_length_b 7.567
_cell_length_c 8.761
_cell_angle_alpha 90.00
_cell_angle_beta 93.61
_cell_angle_gamma 90.00
loop_
_symmetry_equiv_pos_as_xyz
'x,y,z'
'-x,-y,-z'
'-x,y,-z'
'x,-y,z'
'x+1/2,y+1/2,z'
'-x+1/2,-y+1/2,-z'
'-x+1/2,y+1/2,-z'
'x+1/2,-y+1/2,z'
loop_
_atom_site_label
_atom_site_fract_x
_atom_site_fract_y
_atom_site_fract_z
_atom_site_occupancy
Tl1 0.206 0.000 0.102 1
In1 0.000 0.289 0.500 1
In2 0.000 0.500 0.000 1
Br1 0.087 0.251 0.830 1
Br2 0.125 0.000 0.450 1
Br3 0.152 0.500 0.202 1
```

## Properties
Its mass density is 4.98 Mg/m³. For the total energy, the calculation gives -2.788 eV per atom.



10.
## Nd2YPd (PBE)

Data for a geometry-optimized Nd2YPd structure.

```
data_Nd2YPd
_chemical_formula_sum 'Nd2 Y1 Pd1'
_symmetry_space_group_name_H-M 'P 4/m m m'
_symmetry_Int_Tables_number 123
_symmetry_space_group_name_Hall '-P 4 2'
_cell_length_a 3.706
_cell_length_b 3.706
_cell_length_c 8.511
_cell_angle_alpha 90.00
_cell_angle_beta 90.00
_cell_angle_gamma 90.00
loop_
_atom_site_label
_atom_site_fract_x
_atom_site_fract_y
_atom_site_fract_z
_atom_site_occupancy
Nd1 0.000 0.000 0.202 1
Y1 0.500 0.500 0.500 1
Pd1 0.500 0.500 0.000 1
```

## Properties
Its mass density is 6.87 Mg/m³. The value obtained for the formation energy is -31.0 kJ/mol of atoms.



11.
## CeZrTe2 (PBE)

Data for a geometry-optimized CeZrTe2 structure.

```
data_CeZrTe2
_chemical_formula_sum 'Ce1 Zr1 Te2'
_symmetry_space_group_name_H-M 'P 4/m m m'
_symmetry_Int_Tables_number 123
_symmetry_space_group_name_Hall '-P 4 2'
_cell_length_a 5.215
_cell_length_b 5.215
_cell_length_c 3.717
_cell_angle_alpha 90.00
_cell_angle_beta 90.00
_cell_angle_gamma 90.00
loop_
_atom_site_label
_atom_site_fract_x
_atom_site_fract_y
_atom_site_fract_z
_atom_site_occupancy
Ce1 0.000 0.000 0.000 1
Zr1 0.500 0.500 0.000 1
Te1 0.000 0.500 0.500 1
```

## Properties
Its mass density is 7.99 Mg/m³. For the total energy, the calculation gives -6.137 eV per atom.



12.
## Mn4Zn2Pb (PBE)

Data for a geometry-optimized Mn4Zn2Pb structure.

```
data_Mn4Zn2Pb
_chemical_formula_sum 'Mn8 Zn4 Pb2'
_symmetry_space_group_name_H-M 'I 4/m m m'
_symmetry_Int_Tables_number 139
_symmetry_space_group_name_Hall '-I 4 2'
_cell_length_a 4.999
_cell_length_b 4.999
_cell_length_c 13.000
_cell_angle_alpha 90.00
_cell_angle_beta 90.00
_cell_angle_gamma 90.00
loop_
_atom_site_label
_atom_site_fract_x
_atom_site_fract_y
_atom_site_fract_z
_atom_site_occupancy
Mn1 0.000 0.000 0.211 1
Mn2 0.000 0.500 0.000 1
Zn1 0.000 0.000 0.403 1
Pb1 0.000 0.000 0.000 1
```

## Properties
Its mass density is 5.70 Mg/m³. The value obtained for the formation energy is 101.9 kJ/mol of atoms.



What is the formula in the sixth record?
MgCrHg2



Which of these has the lowest mass density?
Tl2In3Br8



Look up the mass density of the tenth one.
6.87 Mg/m³



Which formula does entry 4 have?
Y2TaAl2Ru5